Record 1
## FeAs2Au (PBE-GGA)

Data for a relaxed FeAs2Au crystal.

Output
- E above lowest polymorph (eV per atom) = 0.000
- theoretical density (kg/m³) = 9968
- ΔE_f (meV/atom) = 70

Cell and atoms, written as CIF:
```
data_FeAs2Au
_space_group_name_H-M_alt 'P m m m'
_space_group_IT_number 47
_cell_length_a 2.8943
_cell_length_b 2.9163
_cell_length_c 7.9468
_cell_angle_alpha 90.00
_cell_angle_beta 90.00
_cell_angle_gamma 90.00
loop_
_space_group_symop_operation_xyz
'x,y,z'
'-x,-y,-z'
'-x,-y,z'
'x,y,-z'
'x,-y,-z'
'-x,y,z'
'-x,y,-z'
'x,-y,z'
loop_
_atom_site_label
_atom_site_type_symbol
_atom_site_fract_x
_atom_site_fract_y
_atom_site_fract_z
Fe1 Fe 0.0000 0.0000 0.0000
As1 As 0.5000 0.5000 0.1839
Au1 Au 0.0000 0.5000 0.5000
```

***

Record 2
## FeAs2HAu (PBE-GGA)

Data for a relaxed FeAs2HAu crystal.

Output
- theoretical density (kg/m³) = 6824

Cell and atoms, written as CIF:
```
data_FeAs2HAu
_space_group_name_H-M_alt 'P 4/m m m'
_space_group_IT_number 123
_space_group_name_Hall '-P 4 2'
_cell_length_a 4.3754
_cell_length_b 4.3754
_cell_length_c 5.1309
_cell_angle_alpha 90.00
_cell_angle_beta 90.00
_cell_angle_gamma 90.00
loop_
_atom_site_label
_atom_site_type_symbol
_atom_site_fract_x
_atom_site_fract_y
_atom_site_fract_z
Fe1 Fe 0.0000 0.0000 0.0000
As1 As 0.0000 0.5000 0.0000
H1 H 0.5000 0.5000 0.5000
Au1 Au 0.0000 0.0000 0.5000
```

***

Record 3
## FeAsH2Au (PBE-GGA)

Data for a relaxed FeAsH2Au crystal.

Output
- theoretical density (kg/m³) = 7930

Cell and atoms, written as CIF:
```
data_FeAsH2Au
_space_group_name_H-M_alt 'P 4/m m m'
_space_group_IT_number 123
_space_group_name_Hall '-P 4 2'
_cell_length_a 3.6083
_cell_length_b 3.6083
_cell_length_c 5.3034
_cell_angle_alpha 90.00
_cell_angle_beta 90.00
_cell_angle_gamma 90.00
loop_
_atom_site_label
_atom_site_type_symbol
_atom_site_fract_x
_atom_site_fract_y
_atom_site_fract_z
Fe1 Fe 0.0000 0.0000 0.0000
As1 As 0.5000 0.5000 0.5000
H1 H 0.0000 0.5000 0.0000
Au1 Au 0.0000 0.0000 0.5000
```

***

Record 4
## KFeAs2Au (PBE-GGA)

Data for a relaxed KFeAs2Au crystal.

Output
- theoretical density (kg/m³) = 5439
- ΔE_f (meV/atom) = 602

Cell and atoms, written as CIF:
```
data_KFeAs2Au
_space_group_name_H-M_alt 'P 4/m m m'
_space_group_IT_number 123
_space_group_name_Hall '-P 4 2'
_cell_length_a 5.1691
_cell_length_b 5.1691
_cell_length_c 5.0477
_cell_angle_alpha 90.00
_cell_angle_beta 90.00
_cell_angle_gamma 90.00
loop_
_atom_site_label
_atom_site_type_symbol
_atom_site_fract_x
_atom_site_fract_y
_atom_site_fract_z
K1 K 0.0000 0.0000 0.0000
Fe1 Fe 0.5000 0.5000 0.0000
As1 As 0.0000 0.5000 0.5000
Au1 Au 0.5000 0.5000 0.5000
```

***

The raw total energy results, record by record, are as follows: -5.189, -4.109, -4.047, -3.825 eV/atom.